1.
# PrNd3Zn8 PBE optimized geometry
data_PrNd3Zn8
_chemical_formula_sum 'Pr1 Nd3 Zn8'
_cell_length_a 5.7141
_cell_length_b 5.7141
_cell_length_c 8.7599
_cell_angle_alpha 90.00
_cell_angle_beta 90.00
_cell_angle_gamma 120.00
_space_group_name_H-M_alt 'P 3 m 1'
_space_group_IT_number 156
loop_
_space_group_symop_operation_xyz
'x,y,z'
'-y,x-y,z'
'-x+y,-x,z'
'-y,-x,z'
'-x+y,y,z'
'x,x-y,z'
loop_
_atom_site_label
_atom_site_fract_x
_atom_site_fract_y
_atom_site_fract_z
Pr1 0.0000 0.0000 0.0000
Nd1 0.0000 0.0000 0.3972
Nd2 0.6667 0.3333 0.5012
Nd3 0.6667 0.3333 0.8963
Zn1 0.0050 0.5025 0.1991
Zn2 0.1701 0.3402 0.6978
Zn3 0.3333 0.6667 0.4479
Zn4 0.3333 0.6667 0.9491
# **D(E_F)**: 0.598 states/eV/atom
# **Magnetic moment**: 0.000 μB per formula unit
# **Formation enthalpy at 0 K**: -0.30 eV/atom
# **Calculated total energy**: -0.101 Ha/atom

2.
# YCl2 PBE optimized geometry
data_YCl2
_chemical_formula_sum 'Y2 Cl4'
_cell_length_a 6.753
_cell_length_b 6.951
_cell_length_c 3.504
_cell_angle_alpha 90.00
_cell_angle_beta 90.00
_cell_angle_gamma 90.00
_space_group_name_H-M_alt 'P n n m'
_space_group_IT_number 58
loop_
_space_group_symop_operation_xyz
'x,y,z'
'-x,-y,-z'
'-x,-y,z'
'x,y,-z'
'x+1/2,-y+1/2,-z+1/2'
'-x+1/2,y+1/2,z+1/2'
'-x+1/2,y+1/2,-z+1/2'
'x+1/2,-y+1/2,z+1/2'
loop_
_atom_site_label
_atom_site_fract_x
_atom_site_fract_y
_atom_site_fract_z
Y1 0.000 0.000 0.000
Cl1 0.250 0.187 0.500
# **D(E_F)**: 0.479 states/eV/atom
# **Magnetic moment**: 0.299 μB per formula unit
# **Calculated total energy**: -0.194 Ha/atom
# **E_form (uncorrected)**: -5.67 eV per formula unit

3.
# ErZrGaCo PBE optimized geometry
data_ErZrGaCo
_chemical_formula_sum 'Er4 Zr4 Ga4 Co4'
_cell_length_a 6.735
_cell_length_b 6.735
_cell_length_c 6.735
_cell_angle_alpha 90.00
_cell_angle_beta 90.00
_cell_angle_gamma 90.00
_space_group_name_H-M_alt 'F -4 3 m'
_space_group_IT_number 216
_space_group_name_Hall 'F -4 2 3'
loop_
_atom_site_label
_atom_site_fract_x
_atom_site_fract_y
_atom_site_fract_z
Er1 0.000 0.000 0.000
Zr1 0.000 0.000 0.500
Ga1 0.250 0.250 0.250
Co1 0.250 0.250 0.750
# **D(E_F)**: 0.679 states/eV/atom
# **Magnetic moment**: 0.924 μB per formula unit
# **Formation enthalpy at 0 K**: -0.30 eV/atom
# **Calculated total energy**: -0.224 Ha/atom

4.
# TlB3As PBE optimized geometry
data_TlB3As
_chemical_formula_sum 'Tl1 B3 As1'
_cell_length_a 4.256
_cell_length_b 4.256
_cell_length_c 4.256
_cell_angle_alpha 90.00
_cell_angle_beta 90.00
_cell_angle_gamma 90.00
_space_group_name_H-M_alt 'P m -3 m'
_space_group_IT_number 221
_space_group_name_Hall '-P 4 2 3'
loop_
_atom_site_label
_atom_site_fract_x
_atom_site_fract_y
_atom_site_fract_z
Tl1 0.000 0.000 0.000
B1 0.000 0.500 0.500
As1 0.500 0.500 0.500
# **D(E_F)**: 0.608 states/eV/atom
# **Distance to the lowest polymorph of the same formula**: 0 meV per atom
# **Magnetic moment**: 0.000 μB per formula unit
# **Formation enthalpy at 0 K**: 1.77 eV/atom
# **Calculated total energy**: -0.134 Ha/atom

5.
# Np2AlFe5B2 PBE optimized geometry
data_Np2AlFe5B2
_chemical_formula_sum 'Np4 Al2 Fe10 B4'
_cell_length_a 9.017
_cell_length_b 9.017
_cell_length_c 2.984
_cell_angle_alpha 90.00
_cell_angle_beta 90.00
_cell_angle_gamma 90.00
_space_group_name_H-M_alt 'P 4/m b m'
_space_group_IT_number 127
_space_group_name_Hall '-P 4 2ab'
loop_
_atom_site_label
_atom_site_fract_x
_atom_site_fract_y
_atom_site_fract_z
Np1 0.178 0.322 0.000
Al1 0.000 0.000 0.000
Fe1 0.000 0.500 0.500
Fe2 0.070 0.776 0.500
B1 0.119 0.619 0.000
# **D(E_F)**: 1.141 states/eV/atom
# **Magnetic moment**: 2.042 μB per formula unit
# **Formation enthalpy at 0 K**: -0.24 eV/atom
# **Calculated total energy**: -0.322 Ha/atom

6.
# CaHoPtPb PBE optimized geometry
data_CaHoPtPb
_chemical_formula_sum 'Ca1 Ho1 Pt1 Pb1'
_cell_length_a 3.539
_cell_length_b 3.539
_cell_length_c 8.056
_cell_angle_alpha 90.00
_cell_angle_beta 90.00
_cell_angle_gamma 90.00
_space_group_name_H-M_alt 'P 4 m m'
_space_group_IT_number 99
loop_
_space_group_symop_operation_xyz
'x,y,z'
'-y,x,z'
'-x,-y,z'
'y,-x,z'
'-x,y,z'
'y,x,z'
'x,-y,z'
'-y,-x,z'
loop_
_atom_site_label
_atom_site_fract_x
_atom_site_fract_y
_atom_site_fract_z
Ca1 0.000 0.000 0.000
Ho1 0.000 0.000 0.576
Pt1 0.500 0.500 0.761
Pb1 0.500 0.500 0.291
# **D(E_F)**: 0.282 states/eV/atom
# **Distance to the lowest polymorph of the same formula**: 0 meV per atom
# **Magnetic moment**: 0.000 μB per formula unit
# **Formation enthalpy at 0 K**: -0.84 eV/atom
# **Calculated total energy**: -0.181 Ha/atom

7.
# Zn4NiAu5 PBE optimized geometry
data_Zn4NiAu5
_chemical_formula_sum 'Zn4 Ni1 Au5'
_cell_length_a 3.206
_cell_length_b 3.206
_cell_length_c 15.467
_cell_angle_alpha 90.00
_cell_angle_beta 90.00
_cell_angle_gamma 90.00
_space_group_name_H-M_alt 'P 4/m m m'
_space_group_IT_number 123
_space_group_name_Hall '-P 4 2'
loop_
_atom_site_label
_atom_site_fract_x
_atom_site_fract_y
_atom_site_fract_z
Zn1 0.000 0.000 0.102
Zn2 0.000 0.000 0.309
Ni1 0.000 0.000 0.500
Au1 0.500 0.500 0.000
Au2 0.500 0.500 0.204
Au3 0.500 0.500 0.406
# **D(E_F)**: 0.341 states/eV/atom
# **Magnetic moment**: 0.000 μB per formula unit
# **Formation enthalpy at 0 K**: -0.15 eV/atom
# **Calculated total energy**: -0.106 Ha/atom

8.
# Er2FeRh PBE optimized geometry
data_Er2FeRh
_chemical_formula_sum 'Er8 Fe4 Rh4'
_cell_length_a 6.697
_cell_length_b 6.697
_cell_length_c 6.697
_cell_angle_alpha 90.00
_cell_angle_beta 90.00
_cell_angle_gamma 90.00
_space_group_name_H-M_alt 'F m -3 m'
_space_group_IT_number 225
_space_group_name_Hall '-F 4 2 3'
loop_
_atom_site_label
_atom_site_fract_x
_atom_site_fract_y
_atom_site_fract_z
Er1 0.250 0.250 0.250
Fe1 0.000 0.000 0.000
Rh1 0.000 0.000 0.500
# **D(E_F)**: 1.422 states/eV/atom
# **Distance to the lowest polymorph of the same formula**: 25 meV per atom
# **Magnetic moment**: 0.454 μB per formula unit
# **Formation enthalpy at 0 K**: -0.36 eV/atom
# **Calculated total energy**: -0.242 Ha/atom

9.
# CuTeP PBE optimized geometry
data_CuTeP
_chemical_formula_sum 'Cu2 Te2 P2'
_cell_length_a 3.000
_cell_length_b 3.662
_cell_length_c 11.632
_cell_angle_alpha 90.00
_cell_angle_beta 90.00
_cell_angle_gamma 90.00
_space_group_name_H-M_alt 'I m m 2'
_space_group_IT_number 44
loop_
_space_group_symop_operation_xyz
'x,y,z'
'-x,-y,z'
'-x,y,z'
'x,-y,z'
'x+1/2,y+1/2,z+1/2'
'-x+1/2,-y+1/2,z+1/2'
'-x+1/2,y+1/2,z+1/2'
'x+1/2,-y+1/2,z+1/2'
loop_
_atom_site_label
_atom_site_fract_x
_atom_site_fract_y
_atom_site_fract_z
Cu1 0.000 0.000 0.000
Te1 0.000 0.000 0.243
P1 0.000 0.000 0.465
# **D(E_F)**: 0.433 states/eV/atom
# **Distance to the lowest polymorph of the same formula**: 0 meV per atom
# **Magnetic moment**: 0.000 μB per formula unit
# **Calculated total energy**: -0.149 Ha/atom
# **E_form (uncorrected)**: 0.52 eV per formula unit

10.
# AlFe2S PBE optimized geometry
data_AlFe2S
_chemical_formula_sum 'Al4 Fe8 S4'
_cell_length_a 5.665
_cell_length_b 5.665
_cell_length_c 5.665
_cell_angle_alpha 90.00
_cell_angle_beta 90.00
_cell_angle_gamma 90.00
_space_group_name_H-M_alt 'F m -3 m'
_space_group_IT_number 225
_space_group_name_Hall '-F 4 2 3'
loop_
_atom_site_label
_atom_site_fract_x
_atom_site_fract_y
_atom_site_fract_z
Al1 0.000 0.000 0.000
Fe1 0.250 0.250 0.250
S1 0.000 0.000 0.500
# **D(E_F)**: 1.333 states/eV/atom
# **Distance to the lowest polymorph of the same formula**: 50 meV per atom
# **Magnetic moment**: 0.287 μB per formula unit
# **Calculated total energy**: -0.222 Ha/atom
# **E_form (uncorrected)**: 0.64 eV per formula unit

11.
# Ce4CdSb PBE optimized geometry
data_Ce4CdSb
_chemical_formula_sum 'Ce8 Cd2 Sb2'
_cell_length_a 5.115
_cell_length_b 6.258
_cell_length_c 9.346
_cell_angle_alpha 90.00
_cell_angle_beta 90.00
_cell_angle_gamma 90.00
_space_group_name_H-M_alt 'I m m m'
_space_group_IT_number 71
_space_group_name_Hall '-I 2 2'
loop_
_atom_site_label
_atom_site_fract_x
_atom_site_fract_y
_atom_site_fract_z
Ce1 0.000 0.246 0.177
Cd1 0.000 0.500 0.500
Sb1 0.000 0.000 0.500
# **D(E_F)**: 2.572 states/eV/atom
# **Distance to the lowest polymorph of the same formula**: 0 meV per atom
# **Magnetic moment**: 2.032 μB per formula unit
# **Calculated total energy**: -0.185 Ha/atom
# **E_form (uncorrected)**: -1.49 eV per formula unit

12.
# TcSn2GeI PBE optimized geometry
data_TcSn2GeI
_chemical_formula_sum 'Tc1 Sn2 Ge1 I1'
_cell_length_a 5.898
_cell_length_b 5.898
_cell_length_c 4.949
_cell_angle_alpha 90.00
_cell_angle_beta 90.00
_cell_angle_gamma 90.00
_space_group_name_H-M_alt 'P 4/m m m'
_space_group_IT_number 123
_space_group_name_Hall '-P 4 2'
loop_
_atom_site_label
_atom_site_fract_x
_atom_site_fract_y
_atom_site_fract_z
Tc1 0.000 0.000 0.000
Sn1 0.000 0.500 0.500
Ge1 0.500 0.500 0.000
I1 0.000 0.000 0.500
# **D(E_F)**: 1.191 states/eV/atom
# **Distance to the lowest polymorph of the same formula**: 1565 meV per atom
# **Magnetic moment**: 2.362 μB per formula unit
# **Calculated total energy**: -0.126 Ha/atom
# **E_form (uncorrected)**: 7.44 eV per formula unit

13.
# DyHoAl2 PBE optimized geometry
data_DyHoAl2
_chemical_formula_sum 'Dy3 Ho3 Al6'
_cell_length_a 3.5583
_cell_length_b 3.5583
_cell_length_c 27.6770
_cell_angle_alpha 90.00
_cell_angle_beta 90.00
_cell_angle_gamma 120.00
_space_group_name_H-M_alt 'R -3 m'
_space_group_IT_number 166
_space_group_name_Hall '-R 3 2"'
loop_
_atom_site_label
_atom_site_fract_x
_atom_site_fract_y
_atom_site_fract_z
Dy1 0.0000 0.0000 0.0000
Ho1 0.0000 0.0000 0.5000
Al1 0.0000 0.0000 0.2497
# **D(E_F)**: 0.404 states/eV/atom
# **Distance to the lowest polymorph of the same formula**: 227 meV per atom
# **Magnetic moment**: 0.000 μB per formula unit
# **Formation enthalpy at 0 K**: -0.17 eV/atom
# **Calculated total energy**: -0.159 Ha/atom